{
  "formula": "Sr4PdI4",
  "functional": "GGA-PBE",
  "state": "relaxed",
  "lattice": [[4.438, 0.000, 1.049], [1.849, 8.093, 2.090], [-0.133, 0.101, 10.475]],
  "species": ["Sr", "Sr", "Sr", "Sr", "Pd", "I", "I", "I", "I"],
  "fractional_positions": [[0.321, 0.091, 0.268], [0.679, 0.909, 0.732], [0.922, 0.250, 0.906], [0.078, 0.750, 0.094], [0.500, 0.000, 0.000], [0.697, 0.410, 0.196], [0.884, 0.812, 0.420], [0.303, 0.590, 0.804], [0.116, 0.188, 0.580]],
  "final_energy_ev_per_atom": -3.2718,
  "e_form_raw_mev_per_atom": -1258,
  "m_tot_mub_per_fu": 0.00
}

=====

{
  "formula": "Cs3Sm3NpTe8",
  "functional": "GGA-PBE",
  "state": "relaxed",
  "lattice": [[-0.130, -3.972, 8.192], [7.659, 3.849, -3.072], [-7.522, 6.679, 3.118]],
  "species": ["Cs", "Cs", "Cs", "Sm", "Sm", "Sm", "Np", "Te", "Te", "Te", "Te", "Te", "Te", "Te", "Te"],
  "fractional_positions": [[0.000, 0.000, 0.000], [0.000, 0.500, 0.000], [0.500, 0.500, 0.000], [0.500, 0.000, 0.500], [0.500, 0.500, 0.500], [0.000, 0.500, 0.500], [0.000, 0.000, 0.500], [0.269, 0.538, 0.307], [0.731, 0.462, 0.693], [0.774, 0.548, 0.312], [0.226, 0.452, 0.688], [0.774, 0.038, 0.312], [0.226, 0.962, 0.688], [0.264, 0.038, 0.312], [0.736, 0.962, 0.688]],
  "final_energy_ev_per_atom": -4.8995,
  "e_form_raw_mev_per_atom": -1247,
  "m_tot_mub_per_fu": 3.00
}

=====

{
  "formula": "TlCdHg2Cl8",
  "functional": "GGA-PBE",
  "state": "relaxed",
  "lattice": [[7.024, -0.082, 0.311], [-0.043, 6.442, 0.450], [0.415, 0.614, 8.066]],
  "species": ["Tl", "Cd", "Hg", "Hg", "Cl", "Cl", "Cl", "Cl", "Cl", "Cl", "Cl", "Cl"],
  "fractional_positions": [[0.000, 0.000, 0.500], [0.000, 0.000, 0.000], [0.494, 0.493, 0.755], [0.506, 0.507, 0.245], [0.139, 0.767, 0.245], [0.646, 0.749, 0.014], [0.852, 0.226, 0.219], [0.861, 0.233, 0.755], [0.354, 0.251, 0.986], [0.148, 0.774, 0.781], [0.635, 0.735, 0.524], [0.365, 0.265, 0.476]],
  "final_energy_ev_per_atom": -2.2609,
  "e_form_raw_mev_per_atom": -706,
  "m_tot_mub_per_fu": 0.00
}

=====

{
  "formula": "FeMoPt2",
  "functional": "GGA-PBE",
  "state": "relaxed",
  "lattice": [[5.466, 0.000, 0.000], [0.000, 5.466, 0.000], [2.733, 2.733, 5.573]],
  "species": ["Mo", "Mo", "Fe", "Fe", "Pt", "Pt", "Pt", "Pt"],
  "fractional_positions": [[0.000, 0.000, 0.000], [0.750, 0.250, 0.500], [0.500, 0.500, 0.000], [0.250, 0.750, 0.500], [0.602, 0.125, 0.250], [0.148, 0.625, 0.250], [0.375, 0.398, 0.750], [0.875, 0.852, 0.750]],
  "final_energy_ev_per_atom": -6.9730,
  "m_tot_mub_per_fu": 0.00
}